# InCoP2

A relaxed InCoP2 crystal (PBE, the Alexandria database).

abc: 6.535 6.535 6.535
angles: 129.51 129.51 74.18
Fractional positions:
In: 0.000 0.000 0.000
In: 0.750 0.250 0.500
Co: 0.250 0.750 0.500
Co: 0.500 0.500 0.000
P: 0.201 0.625 0.076
P: 0.375 0.451 0.576
P: 0.549 0.125 0.924
P: 0.875 0.799 0.424

Properties
* calculated volume: 20.2 Å³/atom
* space group: I-42d, No. 122
* ΔH_f (0 K): -0.074 eV per atom
* E_tot: -5.24 eV per atom

# InCoP2

A relaxed InCoP2 crystal (PBE, the Alexandria database).

abc: 4.394 4.394 3.973
angles: 103.97 103.97 107.11
Fractional positions:
In: 0.000 0.000 0.000
Co: 0.500 0.500 0.000
P: 0.000 0.500 0.500
P: 0.500 0.000 0.500

Properties
* calculated volume: 16.7 Å³/atom
* space group: C2/m, No. 12
* ΔH_f (0 K): 0.442 eV per atom
* E_tot: -4.72 eV per atom

# InCoP

A relaxed InCoP crystal (PBE, the Alexandria database).

abc: 3.340 5.198 6.142
angles: 90.00 90.00 90.00
Fractional positions:
In: 0.000 0.041 0.000
In: 0.500 0.959 0.500
Co: 0.000 0.662 0.726
Co: 0.500 0.338 0.226
P: 0.000 0.466 0.414
P: 0.500 0.534 0.914

Properties
* calculated volume: 17.8 Å³/atom
* space group: Pmn2_1, No. 31
* ΔH_f (0 K): -0.209 eV per atom
* E_tot: -5.29 eV per atom

# InCo2P

A relaxed InCo2P crystal (PBE, the Alexandria database).

abc: 4.234 4.234 4.234
angles: 60.00 60.00 60.00
Fractional positions:
In: 0.000 0.000 0.000
Co: 0.250 0.250 0.250
Co: 0.750 0.750 0.750
P: 0.500 0.500 0.500

Properties
* calculated volume: 13.4 Å³/atom
* space group: Fm-3m, No. 225
* ΔH_f (0 K): 0.210 eV per atom
* E_tot: -5.38 eV per atom

# In2CoP

A relaxed In2CoP crystal (PBE, the Alexandria database).

abc: 3.542 3.386 6.005
angles: 90.00 97.47 90.00
Fractional positions:
In: 0.001 0.000 0.242
In: 0.999 0.000 0.758
Co: 0.500 0.500 0.000
P: 0.500 0.500 0.500

Properties
* calculated volume: 17.9 Å³/atom
* space group: P2/m, No. 10
* ΔH_f (0 K): 0.371 eV per atom
* E_tot: -4.13 eV per atom

# In5CoP

A relaxed In5CoP crystal (PBE, the Alexandria database).

abc: 4.362 4.362 8.090
angles: 90.00 90.00 90.00
Fractional positions:
In: 0.000 0.000 0.000
In: 0.000 0.500 0.304
In: 0.000 0.500 0.696
In: 0.500 0.000 0.304
In: 0.500 0.000 0.696
Co: 0.500 0.500 0.500
P: 0.500 0.500 0.000

Properties
* calculated volume: 22.0 Å³/atom
* space group: P4/mmm, No. 123
* ΔH_f (0 K): 0.222 eV per atom
* E_tot: -3.52 eV per atom

# InCoP

A relaxed InCoP crystal (PBE, the Alexandria database).

abc: 5.837 3.205 5.872
angles: 90.00 111.74 90.00
Fractional positions:
In: 0.000 0.000 0.000
In: 0.489 0.500 0.845
Co: 0.316 0.000 0.447
Co: 0.867 0.500 0.307
P: 0.504 0.500 0.336
P: 0.994 0.000 0.562

Properties
* calculated volume: 17.0 Å³/atom
* space group: Pm, No. 6
* ΔH_f (0 K): -0.150 eV per atom
* E_tot: -5.23 eV per atom

# InCoP2

A relaxed InCoP2 crystal (PBE, the Alexandria database).

abc: 4.849 4.849 4.849
angles: 131.77 131.77 70.59
Fractional positions:
In: 0.000 0.000 0.000
Co: 0.750 0.250 0.500
P: 0.250 0.750 0.500
P: 0.500 0.500 0.000

Properties
* calculated volume: 15.5 Å³/atom
* space group: I-4m2, No. 119
* ΔH_f (0 K): 0.556 eV per atom
* E_tot: -4.61 eV per atom

# InCoP2

A relaxed InCoP2 crystal (PBE, the Alexandria database).

abc: 3.666 3.687 4.679
angles: 90.00 90.00 90.00
Fractional positions:
In: 0.000 0.000 0.000
Co: 0.500 0.500 0.000
P: 0.000 0.500 0.500
P: 0.500 0.000 0.500

Properties
* calculated volume: 15.8 Å³/atom
* space group: Pmmm, No. 47
* ΔH_f (0 K): 0.541 eV per atom
* E_tot: -4.63 eV per atom

# InCo2P

A relaxed InCo2P crystal (PBE, the Alexandria database).

abc: 4.524 3.651 8.261
angles: 90.00 90.00 90.00
Fractional positions:
In: 0.250 0.000 0.129
In: 0.750 0.000 0.871
Co: 0.000 0.000 0.500
Co: 0.250 0.500 0.344
Co: 0.500 0.000 0.500
Co: 0.750 0.500 0.656
P: 0.250 0.500 0.618
P: 0.750 0.500 0.382

Properties
* calculated volume: 17.1 Å³/atom
* space group: Pmma, No. 51
* ΔH_f (0 K): -0.112 eV per atom
* E_tot: -5.70 eV per atom

# InCo2P

A relaxed InCo2P crystal (PBE, the Alexandria database).

abc: 5.736 5.736 5.736
angles: 35.90 35.90 35.90
Fractional positions:
In: 0.000 0.000 0.000
Co: 0.555 0.555 0.555
Co: 0.786 0.786 0.786
P: 0.173 0.173 0.173

Properties
* calculated volume: 14.5 Å³/atom
* space group: R3m, No. 160
* ΔH_f (0 K): -0.234 eV per atom
* E_tot: -5.82 eV per atom

# InCoP2

A relaxed InCoP2 crystal (PBE, the Alexandria database).

abc: 4.353 4.353 3.476
angles: 90.00 90.00 106.84
Fractional positions:
In: 0.000 0.000 0.000
Co: 0.500 0.500 0.000
P: 0.000 0.500 0.500
P: 0.500 0.000 0.500

Properties
* calculated volume: 15.8 Å³/atom
* space group: Cmmm, No. 65
* ΔH_f (0 K): 0.472 eV per atom
* E_tot: -4.69 eV per atom

# InCo2P

A relaxed InCo2P crystal (PBE, the Alexandria database).

abc: 4.157 4.157 3.115
angles: 90.00 90.00 90.00
Fractional positions:
In: 0.000 0.000 0.000
Co: 0.000 0.500 0.500
Co: 0.500 0.000 0.500
P: 0.500 0.500 0.000

Properties
* calculated volume: 13.5 Å³/atom
* space group: P4/mmm, No. 123
* ΔH_f (0 K): 0.191 eV per atom
* E_tot: -5.40 eV per atom

# InCoP

A relaxed InCoP crystal (PBE, the Alexandria database).

abc: 6.260 6.260 5.514
angles: 108.70 108.70 29.43
Fractional positions:
In: 0.000 0.000 0.000
In: 0.739 0.739 0.903
Co: 0.121 0.121 0.485
Co: 0.347 0.347 0.631
P: 0.504 0.504 0.526
P: 0.744 0.744 0.377

Properties
* calculated volume: 16.7 Å³/atom
* space group: Cm, No. 8
* ΔH_f (0 K): -0.169 eV per atom
* E_tot: -5.25 eV per atom

# InCo2P

A relaxed InCo2P crystal (PBE, the Alexandria database).

abc: 2.817 2.817 6.571
angles: 90.00 90.00 90.00
Fractional positions:
In: 0.000 0.000 0.000
Co: 0.500 0.500 0.309
Co: 0.500 0.500 0.691
P: 0.000 0.000 0.500

Properties
* calculated volume: 13.0 Å³/atom
* space group: P4/mmm, No. 123
* ΔH_f (0 K): -0.104 eV per atom
* E_tot: -5.69 eV per atom

# In2CoP

A relaxed In2CoP crystal (PBE, the Alexandria database).

abc: 7.830 7.830 7.830
angles: 25.01 25.01 25.01
Fractional positions:
In: 0.248 0.248 0.248
In: 0.752 0.752 0.752
Co: 0.500 0.500 0.500
P: 0.000 0.000 0.000

Properties
* calculated volume: 18.9 Å³/atom
* space group: R-3m, No. 166
* ΔH_f (0 K): 0.368 eV per atom
* E_tot: -4.13 eV per atom

# In2CoP

A relaxed In2CoP crystal (PBE, the Alexandria database).

abc: 6.367 6.367 6.367
angles: 153.10 139.20 49.56
Fractional positions:
In: 0.000 0.000 0.000
In: 0.699 0.199 0.500
Co: 0.472 0.472 0.000
P: 0.330 0.830 0.500

Properties
* calculated volume: 19.0 Å³/atom
* space group: Imm2, No. 44
* ΔH_f (0 K): 0.040 eV per atom
* E_tot: -4.46 eV per atom

# In2CoP

A relaxed In2CoP crystal (PBE, the Alexandria database).

abc: 3.019 3.019 8.251
angles: 90.00 90.00 90.00
Fractional positions:
In: 0.000 0.000 0.000
In: 0.500 0.500 0.357
Co: 0.500 0.500 0.749
P: 0.000 0.000 0.644

Properties
* calculated volume: 18.8 Å³/atom
* space group: P4mm, No. 99
* ΔH_f (0 K): -0.003 eV per atom
* E_tot: -4.50 eV per atom

# InCoRe2P

A relaxed InCoRe2P crystal (PBE, the Alexandria database).

abc: 4.455 4.455 4.102
angles: 90.00 90.00 90.00
Fractional positions:
In: 0.000 0.000 0.000
Co: 0.500 0.500 0.000
Re: 0.000 0.500 0.500
Re: 0.500 0.000 0.500
P: 0.500 0.500 0.500

Properties
* calculated volume: 16.3 Å³/atom
* space group: P4/mmm, No. 123
* ΔH_f (0 K): 0.572 eV per atom
* E_tot: -7.46 eV per atom

# In2CoReP

A relaxed In2CoReP crystal (PBE, the Alexandria database).

abc: 5.282 5.282 4.446
angles: 90.00 90.00 90.00
Fractional positions:
In: 0.000 0.500 0.000
In: 0.500 0.000 0.000
Co: 0.000 0.000 0.500
Re: 0.500 0.500 0.000
P: 0.500 0.500 0.500

Properties
* calculated volume: 24.8 Å³/atom
* space group: P4/mmm, No. 123
* ΔH_f (0 K): 0.883 eV per atom
* E_tot: -5.21 eV per atom